Entry 1:
LuThIrPd | GGA-PBE | optimized geometry

The structure in POSCAR format:
```
LuThIrPd
1.0
-4.608 0.219 -1.868
-3.933 -0.389 3.026
-2.859 3.976 0.889
Pd Lu Ir Th
1 1 1 1
Cartesian
0.000 0.000 0.000
-2.850 0.951 0.512
-5.700 1.903 1.023
-8.551 2.854 1.535
```

Output
Size of the total moment = 0.00 μB/f.u.
DFT total energy = -7.34 eV/atom
SG = F-43m, No. 216
Formation enthalpy at 0 K = -839 meV/atom


Entry 2:
HgPNCl2 | GGA-PBE | optimized geometry

The structure in POSCAR format:
```
HgPNCl2
1.0
-4.367 -2.533 -0.366
-0.120 -0.521 5.033
-2.674 4.551 0.408
Hg P Cl N
1 1 2 1
Cartesian
0.000 0.000 0.000
-1.337 2.275 0.204
-2.183 -1.266 -0.183
-0.060 -0.261 2.516
-3.580 0.749 2.537
```

Output
Uncorrected formation energy = 1.72 eV/atom
Size of the total moment = 1.89 μB/f.u.
DFT total energy = -1.82 eV/atom
SG = P4/mmm, No. 123


Entry 3:
Ce5Cu19P12 | GGA-PBE | optimized geometry

The structure in POSCAR format:
```
Ce5Cu19P12
1.0
-1.806 -11.916 3.886
6.379 8.139 7.308
-3.327 1.059 1.752
Cu P Ce
19 12 5
Cartesian
2.396 2.616 10.979
-1.263 1.678 5.327
1.078 -5.593 9.961
3.374 3.410 8.676
2.438 -4.802 7.760
-0.351 -8.033 4.353
1.389 -0.449 7.650
1.730 -1.613 5.313
3.435 0.183 10.947
-1.695 -4.216 3.559
4.132 -0.650 8.469
-2.677 -1.787 4.736
-1.337 -6.529 9.418
0.417 -2.830 7.243
-0.905 -7.073 6.886
4.724 4.401 6.475
-0.357 -0.554 4.103
-0.008 0.002 0.006
1.241 2.977 4.787
2.385 4.072 6.583
-3.948 -3.246 3.137
0.798 -0.662 1.972
-0.997 3.983 4.371
2.870 -2.399 7.194
0.111 -5.136 7.857
-1.827 -6.246 4.822
5.258 6.708 6.025
-1.489 -9.821 3.205
0.879 0.752 5.637
-0.537 -2.715 5.045
2.671 1.136 8.928
0.920 -5.232 5.027
-2.280 -9.870 6.123
2.039 -2.539 9.999
4.380 6.448 8.908
3.650 1.456 6.169
```

Output
Size of the total moment = 2.12 μB/f.u.
DFT total energy = -5.32 eV/atom
SG = Cm, No. 8
Formation enthalpy at 0 K = -532 meV/atom


Entry 4:
Cu3GeS | GGA-PBE | optimized geometry

The structure in POSCAR format:
```
Cu3GeS
1.0
-3.653 0.678 -2.358
-0.998 -4.274 0.316
-2.241 0.797 3.702
S Cu Ge
1 3 1
Cartesian
0.000 0.000 0.000
-0.499 -2.137 0.158
-1.827 0.339 -1.179
-1.121 0.398 1.851
-3.446 -1.400 0.830
```

Output
Uncorrected formation energy = 0.44 eV/atom
Size of the total moment = 0.00 μB/f.u.
DFT total energy = -3.77 eV/atom
SG = Pm-3m, No. 221